No. 1
The following is a PBE-GGA calculation of a geometry-optimized LiSn2Bi2 structure, from the Alexandria database.

Calculated values
Energy of formation (kJ/mol of atoms): 4.2

Cell and atoms, written as CIF:
```
data_LiSn2Bi2
_cell_length_a 4.3169
_cell_length_b 4.3169
_cell_length_c 16.5477
_cell_angle_alpha 90.00
_cell_angle_beta 90.00
_cell_angle_gamma 90.00
_symmetry_space_group_name_H-M 'P 1'
_symmetry_Int_Tables_number 1
_symmetry_space_group_name_Hall 'P 1'
loop_
_atom_site_label
_atom_site_type_symbol
_atom_site_fract_x
_atom_site_fract_y
_atom_site_fract_z
_atom_site_occupancy
Li1 Li 0.0000 0.0000 0.0000 1
Li2 Li 0.5000 0.5000 0.5000 1
Sn1 Sn 0.0000 0.5000 0.2500 1
Sn2 Sn 0.0000 0.5000 0.7500 1
Sn3 Sn 0.5000 0.0000 0.2500 1
Sn4 Sn 0.5000 0.0000 0.7500 1
Bi1 Bi 0.0000 0.0000 0.4090 1
Bi2 Bi 0.0000 0.0000 0.5910 1
Bi3 Bi 0.5000 0.5000 0.0910 1
Bi4 Bi 0.5000 0.5000 0.9090 1
```

No. 2
The following is a PBE-GGA calculation of a geometry-optimized Cs2IrPtF6 structure, from the Alexandria database.

Calculated values
Raw formation energy (kJ/mol of formula units): -1534.9

Cell and atoms, written as CIF:
```
data_Cs2IrPtF6
_cell_length_a 6.4938
_cell_length_b 6.4938
_cell_length_c 6.4938
_cell_angle_alpha 112.84
_cell_angle_beta 112.84
_cell_angle_gamma 102.92
_symmetry_space_group_name_H-M 'P 1'
_symmetry_Int_Tables_number 1
_symmetry_space_group_name_Hall 'P 1'
loop_
_atom_site_label
_atom_site_type_symbol
_atom_site_fract_x
_atom_site_fract_y
_atom_site_fract_z
_atom_site_occupancy
Cs1 Cs 0.2500 0.7500 0.5000 1
Cs2 Cs 0.7500 0.2500 0.5000 1
Ir1 Ir 0.0000 0.0000 0.0000 1
Pt1 Pt 0.5000 0.5000 0.0000 1
F1 F 0.1980 0.1980 0.3959 1
F2 F 0.1980 0.8020 0.0000 1
F3 F 0.2498 0.2498 0.0000 1
F4 F 0.7502 0.7502 0.0000 1
F5 F 0.8020 0.1980 0.0000 1
F6 F 0.8020 0.8020 0.6041 1
```

No. 3
The following is a PBE-GGA calculation of a geometry-optimized Ta4RhW structure, from the Alexandria database.

Calculated values
Energy of formation (kJ/mol of atoms): 39.8

Cell and atoms, written as CIF:
```
data_Ta4RhW
_cell_length_a 5.3413
_cell_length_b 5.3413
_cell_length_c 5.3413
_cell_angle_alpha 60.00
_cell_angle_beta 60.00
_cell_angle_gamma 60.00
_symmetry_space_group_name_H-M 'P 1'
_symmetry_Int_Tables_number 1
_symmetry_space_group_name_Hall 'P 1'
loop_
_atom_site_label
_atom_site_type_symbol
_atom_site_fract_x
_atom_site_fract_y
_atom_site_fract_z
_atom_site_occupancy
Ta1 Ta 0.1241 0.1241 0.1241 1
Ta2 Ta 0.1241 0.1241 0.6278 1
Ta3 Ta 0.1241 0.6278 0.1241 1
Ta4 Ta 0.6278 0.1241 0.1241 1
Rh1 Rh 0.5000 0.5000 0.5000 1
W1 W 0.7500 0.7500 0.7500 1
```

No. 4
The following is a PBE-GGA calculation of a geometry-optimized Rb2TlCdI6 structure, from the Alexandria database.

Calculated values
Raw formation energy (kJ/mol of formula units): -828.4

Cell and atoms, written as CIF:
```
data_Rb2TlCdI6
_cell_length_a 8.4082
_cell_length_b 8.7577
_cell_length_c 14.7267
_cell_angle_alpha 90.00
_cell_angle_beta 124.77
_cell_angle_gamma 90.00
_symmetry_space_group_name_H-M 'P 1'
_symmetry_Int_Tables_number 1
_symmetry_space_group_name_Hall 'P 1'
loop_
_atom_site_label
_atom_site_type_symbol
_atom_site_fract_x
_atom_site_fract_y
_atom_site_fract_z
_atom_site_occupancy
Rb1 Rb 0.2233 0.0772 0.2483 1
Rb2 Rb 0.2233 0.4228 0.7483 1
Rb3 Rb 0.7767 0.5772 0.2517 1
Rb4 Rb 0.7767 0.9228 0.7517 1
Tl1 Tl 0.5000 0.0000 0.0000 1
Tl2 Tl 0.5000 0.5000 0.5000 1
Cd1 Cd 0.0000 0.0000 0.5000 1
Cd2 Cd 0.0000 0.5000 0.0000 1
I1 I 0.1476 0.2093 0.9564 1
I2 I 0.1476 0.2907 0.4564 1
I3 I 0.2505 0.6900 0.9580 1
I4 I 0.2505 0.8100 0.4580 1
I5 I 0.3278 0.0076 0.7410 1
I6 I 0.3278 0.4924 0.2410 1
I7 I 0.6722 0.5076 0.7590 1
I8 I 0.6722 0.9924 0.2590 1
I9 I 0.7495 0.1900 0.5420 1
I10 I 0.7495 0.3100 0.0420 1
I11 I 0.8524 0.7093 0.5436 1
I12 I 0.8524 0.7907 0.0436 1
```

No. 5
The following is a PBE-GGA calculation of a geometry-optimized Li5Cd6Ir structure, from the Alexandria database.

Calculated values
Energy of formation (kJ/mol of atoms): -20.5

Cell and atoms, written as CIF:
```
data_Li5Cd6Ir
_cell_length_a 4.5243
_cell_length_b 6.8981
_cell_length_c 7.1611
_cell_angle_alpha 90.00
_cell_angle_beta 108.00
_cell_angle_gamma 90.00
_symmetry_space_group_name_H-M 'P 1'
_symmetry_Int_Tables_number 1
_symmetry_space_group_name_Hall 'P 1'
loop_
_atom_site_label
_atom_site_type_symbol
_atom_site_fract_x
_atom_site_fract_y
_atom_site_fract_z
_atom_site_occupancy
Li1 Li 0.0000 0.0000 0.0000 1
Li2 Li 0.3257 0.0000 0.6516 1
Li3 Li 0.3452 0.5000 0.6894 1
Li4 Li 0.6548 0.5000 0.3106 1
Li5 Li 0.6743 0.0000 0.3484 1
Cd1 Cd 0.1658 0.2566 0.3315 1
Cd2 Cd 0.1658 0.7434 0.3315 1
Cd3 Cd 0.5000 0.2451 0.0000 1
Cd4 Cd 0.5000 0.7549 0.0000 1
Cd5 Cd 0.8342 0.2566 0.6685 1
Cd6 Cd 0.8342 0.7434 0.6685 1
Ir1 Ir 0.0000 0.5000 0.0000 1
```

Number 1 is which compound?
LiSn2Bi2